# 1
# PBE-GGA Ba2PRu, relaxed
data_Ba2PRu
_cell_length_a 4.1827
_cell_length_b 4.1827
_cell_length_c 26.7462
_cell_angle_alpha 90.00
_cell_angle_beta 90.00
_cell_angle_gamma 120.00
_symmetry_space_group_name_H-M 'R 3 m'
_symmetry_Int_Tables_number 160
_symmetry_space_group_name_Hall 'R 3 -2"'
loop_
_atom_site_label
_atom_site_type_symbol
_atom_site_fract_x
_atom_site_fract_y
_atom_site_fract_z
_atom_site_occupancy
Ba1 Ba 0.0000 0.0000 0.0000 1
Ba2 Ba 0.0000 0.0000 0.1673 1
P1 P 0.0000 0.0000 0.4169 1
Ru1 Ru 0.0000 0.0000 0.7505 1
# ΔE_f (meV/atom): -464
# VASP energy (eV for the cell shown): -61.2
# Spin magnetization (μB per formula unit): 0.0

# 2
# PBE-GGA Pr4ZnCo2, relaxed
data_Pr4ZnCo2
_cell_length_a 4.7978
_cell_length_b 4.7978
_cell_length_c 27.1465
_cell_angle_alpha 90.00
_cell_angle_beta 90.00
_cell_angle_gamma 120.00
_symmetry_space_group_name_H-M 'R -3 m'
_symmetry_Int_Tables_number 166
_symmetry_space_group_name_Hall '-R 3 2"'
loop_
_atom_site_label
_atom_site_type_symbol
_atom_site_fract_x
_atom_site_fract_y
_atom_site_fract_z
_atom_site_occupancy
Pr1 Pr 0.0000 0.0000 0.1164 1
Pr2 Pr 0.0000 0.0000 0.2944 1
Zn1 Zn 0.0000 0.0000 0.5000 1
Co1 Co 0.0000 0.0000 0.4087 1
# ΔE_f (meV/atom): -23
# VASP energy (eV for the cell shown): -104.3
# Spin magnetization (μB per formula unit): 0.0
# Excess energy over the best structure of this formula in the dataset (kJ/mol of atoms): 0.0

# 3
# PBE-GGA NaLiHgAu, relaxed
data_NaLiHgAu
_cell_length_a 3.272
_cell_length_b 3.272
_cell_length_c 7.657
_cell_angle_alpha 90.00
_cell_angle_beta 90.00
_cell_angle_gamma 90.00
_symmetry_space_group_name_H-M 'P 4 m m'
_symmetry_Int_Tables_number 99
loop_
_symmetry_equiv_pos_as_xyz
'x,y,z'
'-y,x,z'
'-x,-y,z'
'y,-x,z'
'-x,y,z'
'y,x,z'
'x,-y,z'
'-y,-x,z'
loop_
_atom_site_label
_atom_site_type_symbol
_atom_site_fract_x
_atom_site_fract_y
_atom_site_fract_z
_atom_site_occupancy
Na1 Na 0.000 0.000 0.000 1
Li1 Li 0.000 0.000 0.440 1
Hg1 Hg 0.500 0.500 0.686 1
Au1 Au 0.500 0.500 0.267 1
# ΔE_f (meV/atom): -352
# VASP energy (eV for the cell shown): -8.2
# Spin magnetization (μB per formula unit): 0.0
# Excess energy over the best structure of this formula in the dataset (kJ/mol of atoms): 0.0

# 4
# PBE-GGA SrCaPu2Te4, relaxed
data_SrCaPu2Te4
_cell_length_a 7.845
_cell_length_b 4.529
_cell_length_c 7.917
_cell_angle_alpha 90.00
_cell_angle_beta 109.29
_cell_angle_gamma 90.00
_symmetry_space_group_name_H-M 'P 1 2/m 1'
_symmetry_Int_Tables_number 10
loop_
_symmetry_equiv_pos_as_xyz
'x,y,z'
'-x,-y,-z'
'-x,y,-z'
'x,-y,z'
loop_
_atom_site_label
_atom_site_type_symbol
_atom_site_fract_x
_atom_site_fract_y
_atom_site_fract_z
_atom_site_occupancy
Sr1 Sr 0.000 0.000 0.000 1
Ca1 Ca 0.500 0.500 0.000 1
Pu1 Pu 0.000 0.500 0.500 1
Pu2 Pu 0.500 0.000 0.500 1
Te1 Te 0.254 0.000 0.745 1
Te2 Te 0.259 0.500 0.260 1
# VASP energy (eV for the cell shown): -55.6
# Formation energy without anion corrections (eV/atom): -1.34
# Spin magnetization (μB per formula unit): 11.9

# 5
# PBE-GGA LaGd6, relaxed
data_LaGd6
_cell_length_a 8.050
_cell_length_b 8.050
_cell_length_c 8.050
_cell_angle_alpha 90.00
_cell_angle_beta 90.00
_cell_angle_gamma 90.00
_symmetry_space_group_name_H-M 'I m -3 m'
_symmetry_Int_Tables_number 229
_symmetry_space_group_name_Hall '-I 4 2 3'
loop_
_atom_site_label
_atom_site_type_symbol
_atom_site_fract_x
_atom_site_fract_y
_atom_site_fract_z
_atom_site_occupancy
La1 La 0.000 0.000 0.000 1
Gd1 Gd 0.000 0.250 0.500 1
# ΔE_f (meV/atom): 1172
# VASP energy (eV for the cell shown): -162.4
# Spin magnetization (μB per formula unit): 43.4

# 6
# PBE-GGA TiAlAg, relaxed
data_TiAlAg
_cell_length_a 4.4708
_cell_length_b 4.4708
_cell_length_c 2.9261
_cell_angle_alpha 90.00
_cell_angle_beta 90.00
_cell_angle_gamma 120.00
_symmetry_space_group_name_H-M 'P -6 m 2'
_symmetry_Int_Tables_number 187
_symmetry_space_group_name_Hall 'P -6 2'
loop_
_atom_site_label
_atom_site_type_symbol
_atom_site_fract_x
_atom_site_fract_y
_atom_site_fract_z
_atom_site_occupancy
Ti1 Ti 0.0000 0.0000 0.0000 1
Al1 Al 0.6667 0.3333 0.5000 1
Ag1 Ag 0.3333 0.6667 0.5000 1
# ΔE_f (meV/atom): -158
# VASP energy (eV for the cell shown): -15.0
# Spin magnetization (μB per formula unit): 0.0

# 7
# PBE-GGA SiPb, relaxed
data_SiPb
_cell_length_a 11.314
_cell_length_b 11.314
_cell_length_c 3.298
_cell_angle_alpha 90.00
_cell_angle_beta 90.00
_cell_angle_gamma 90.00
_symmetry_space_group_name_H-M 'I 4/m'
_symmetry_Int_Tables_number 87
_symmetry_space_group_name_Hall '-I 4'
loop_
_atom_site_label
_atom_site_type_symbol
_atom_site_fract_x
_atom_site_fract_y
_atom_site_fract_z
_atom_site_occupancy
Si1 Si 0.036 0.613 0.000 1
Pb1 Pb 0.154 0.839 0.000 1
# VASP energy (eV for the cell shown): -67.7
# Formation energy without anion corrections (eV/atom): 0.33
# Spin magnetization (μB per formula unit): 0.0

# 8
# PBE-GGA LiH3O2, relaxed
data_LiH3O2
_cell_length_a 7.525
_cell_length_b 8.336
_cell_length_c 3.238
_cell_angle_alpha 90.00
_cell_angle_beta 111.65
_cell_angle_gamma 90.00
_symmetry_space_group_name_H-M 'C 1 2/m 1'
_symmetry_Int_Tables_number 12
loop_
_symmetry_equiv_pos_as_xyz
'x,y,z'
'-x,-y,-z'
'-x,y,-z'
'x,-y,z'
'x+1/2,y+1/2,z'
'-x+1/2,-y+1/2,-z'
'-x+1/2,y+1/2,-z'
'x+1/2,-y+1/2,z'
loop_
_atom_site_label
_atom_site_type_symbol
_atom_site_fract_x
_atom_site_fract_y
_atom_site_fract_z
_atom_site_occupancy
Li1 Li 0.000 0.155 0.000 1
H1 H 0.113 0.369 0.639 1
H2 H 0.233 0.000 0.833 1
O1 O 0.000 0.294 0.500 1
O2 O 0.216 0.000 0.117 1
# VASP energy (eV for the cell shown): -119.3
# Spin magnetization (μB per formula unit): 0.0

Question: What is the spin magnetization in the eighth record?
Answer: 0.0 μB per formula unit

Question: Among the records above, which one has the highest spin magnetization?
Answer: LaGd6